{
  "formula": "AsWF3",
  "functional": "GGA+U",
  "state": "optimized geometry",
  "cell": [[4.375, 0.000, 0.000], [0.000, 4.375, 0.000], [0.000, 0.000, 4.375]],
  "species": ["As", "W", "F", "F", "F"],
  "fractional_positions": [[0.000, 0.000, 0.000], [0.500, 0.500, 0.500], [0.000, 0.000, 0.500], [0.000, 0.500, 0.000], [0.500, 0.000, 0.000]],
  "total_energy_ry_per_atom": -0.2898,
  "de_polymorph_ev_per_fu": 3.79
}